A plane-wave DFT calculation with PBE was carried out for an optimized crystal structure of TmIn3Ni2.

a b c (Å): 4.3716 9.3740 10.3272
angles (deg): 118.72 90.00 103.48
Positions (direct):
Tm  0.1707  0.3414  0.6752
Tm  0.8293  0.6586  0.3248
Tm  0.0000  0.0000  0.0000
In  0.0177  0.0355  0.3184
In  0.9823  0.9645  0.6816
In  0.2079  0.4158  0.3899
In  0.7921  0.5842  0.6101
In  0.6282  0.2564  0.1640
In  0.3718  0.7436  0.8360
In  0.5000  0.0000  0.5000
In  0.3215  0.6429  0.0692
In  0.6785  0.3571  0.9308
Ni  0.2013  0.4026  0.1301
Ni  0.7987  0.5974  0.8699
Ni  0.4800  0.9601  0.1539
Ni  0.5200  0.0399  0.8461
Ni  0.3772  0.7543  0.5679
Ni  0.6228  0.2457  0.4321

The calculation puts the formation energy at -0.222 eV per atom. The density of states at the Fermi level is 3.01 states/eV/f.u.